[1]
This record from Alexandria describes a geometry-optimized YSc5Tl6 structure. The functional is PBE-GGA.

```
data_YSc5Tl6
_cell_length_a 8.8985
_cell_length_b 15.4512
_cell_length_c 5.1438
_cell_angle_alpha 90.00
_cell_angle_beta 125.21
_cell_angle_gamma 90.00
_space_group_name_H-M_alt 'C 1 2/m 1'
_space_group_IT_number 12
_space_group_name_Hall '-C 2y'
loop_
_atom_site_label
_atom_site_type_symbol
_atom_site_fract_x
_atom_site_fract_y
_atom_site_fract_z
Y1 Y 0.0000 0.0000 0.0000
Sc1 Sc 0.0000 0.1644 0.5000
Sc2 Sc 0.0000 0.3323 0.0000
Sc3 Sc 0.0000 0.5000 0.5000
Tl1 Tl 0.2395 0.5000 0.2397
Tl2 Tl 0.2451 0.3301 0.7449
```

=====

[2]
# YScTl (PBE-GGA, optimized geometry)
# Relative energy among the computed polymorphs   0.278 eV per formula unit
data_YScTl
_cell_length_a 5.0594
_cell_length_b 5.0594
_cell_length_c 3.6679
_cell_angle_alpha 90.00
_cell_angle_beta 90.00
_cell_angle_gamma 120.00
_space_group_name_H-M_alt 'P 3 m 1'
_space_group_IT_number 156
_space_group_name_Hall 'P 3 -2"'
loop_
_atom_site_label
_atom_site_type_symbol
_atom_site_fract_x
_atom_site_fract_y
_atom_site_fract_z
Y1 Y 0.0000 0.0000 0.0000
Sc1 Sc 0.6667 0.3333 0.4996
Tl1 Tl 0.3333 0.6667 0.5020

=====

[3]
# YSc3Tl (PBE-GGA, optimized geometry)
# Relative energy among the computed polymorphs   2.555 eV per formula unit
data_YSc3Tl
_cell_length_a 5.4109
_cell_length_b 5.4109
_cell_length_c 5.4109
_cell_angle_alpha 90.00
_cell_angle_beta 90.00
_cell_angle_gamma 90.00
_space_group_name_H-M_alt 'P m -3 m'
_space_group_IT_number 221
_space_group_name_Hall '-P 4 2 3'
loop_
_atom_site_label
_atom_site_type_symbol
_atom_site_fract_x
_atom_site_fract_y
_atom_site_fract_z
Y1 Y 0.0000 0.0000 0.0000
Sc1 Sc 0.0000 0.5000 0.5000
Tl1 Tl 0.5000 0.5000 0.5000

=====

[4]
# Y2ScTl (PBE-GGA, optimized geometry)
# Relative energy among the computed polymorphs   0.081 eV per formula unit
data_Y2ScTl
_cell_length_a 3.6644
_cell_length_b 4.5370
_cell_length_c 6.6615
_cell_angle_alpha 90.00
_cell_angle_beta 90.00
_cell_angle_gamma 90.00
_space_group_name_H-M_alt 'P m m m'
_space_group_IT_number 47
_space_group_name_Hall '-P 2 2'
loop_
_atom_site_label
_atom_site_type_symbol
_atom_site_fract_x
_atom_site_fract_y
_atom_site_fract_z
Y1 Y 0.0000 0.0000 0.2487
Sc1 Sc 0.5000 0.5000 0.5000
Tl1 Tl 0.5000 0.5000 0.0000

=====

[5]
This record from Alexandria describes a geometry-optimized Y5ScTl3 structure. The functional is PBE-GGA.

```
data_Y5ScTl3
_cell_length_a 9.3184
_cell_length_b 9.3184
_cell_length_c 6.6732
_cell_angle_alpha 90.00
_cell_angle_beta 90.00
_cell_angle_gamma 120.00
_space_group_name_H-M_alt 'P 63/m c m'
_space_group_IT_number 193
_space_group_name_Hall '-P 6c 2'
loop_
_atom_site_label
_atom_site_type_symbol
_atom_site_fract_x
_atom_site_fract_y
_atom_site_fract_z
Y1 Y 0.0000 0.3193 0.2500
Y2 Y 0.3333 0.6667 0.0000
Sc1 Sc 0.0000 0.0000 0.0000
Tl1 Tl 0.0000 0.3429 0.7500
```

=====

[6]
# Y2ScTl2 (PBE-GGA, optimized geometry)
# Relative energy among the computed polymorphs   1.346 eV per formula unit
data_Y2ScTl2
_cell_length_a 9.0430
_cell_length_b 9.0430
_cell_length_c 3.4809
_cell_angle_alpha 90.00
_cell_angle_beta 90.00
_cell_angle_gamma 90.00
_space_group_name_H-M_alt 'P 4/m b m'
_space_group_IT_number 127
_space_group_name_Hall '-P 4 2ab'
loop_
_atom_site_label
_atom_site_type_symbol
_atom_site_fract_x
_atom_site_fract_y
_atom_site_fract_z
Y1 Y 0.1293 0.3707 0.0000
Sc1 Sc 0.0000 0.0000 0.0000
Tl1 Tl 0.1724 0.6724 0.5000

=====

The records above give, respectively, DOS at the Fermi energy values of 0.745; 0.892; 1.881; 1.402; 1.199; 1.024 states/eV per atom.
The records above give, respectively, DFT formation energy values of -0.269; -0.194; 0.435; -0.173; -0.286; -0.049 eV/atom.